The following is a DFT calculation (PBE) of SrCa2SnBr8 after structural relaxation.

Calculated values
- Raw total energy: -3.646 eV per atom
- DOS at the Fermi energy: 0.00 states/eV/atom
- Energy relative to the elements, uncorrected: -20.7 eV per formula unit

Cell lengths 7.1036, 6.7864, 8.9639 Å; angles 90.00, 90.00, 90.01 degrees
Sites, in units of the cell vectors:
1 Br 0.3413 0.2712 0.0000
2 Br 0.1678 0.7579 0.7543
3 Sn 0.0000 0.0000 0.0000
4 Sr 0.0000 0.0000 0.5000
5 Ca 0.5000 0.5000 0.7518
6 Br 0.8321 0.2420 0.7543
7 Br 0.1679 0.7580 0.2457
8 Br 0.3457 0.2749 0.5000
9 Ca 0.5000 0.5000 0.2482
10 Br 0.6543 0.7251 0.5000
11 Br 0.8322 0.2421 0.2457
12 Br 0.6587 0.7288 0.0000

---

The following is a DFT calculation (PBE) of Pu2Al2Se7 after structural relaxation.

Calculated values
- Raw total energy: -6.375 eV per atom
- DOS at the Fermi energy: 1.64 states/eV/atom
- Energy relative to the elements, uncorrected: -9.6 eV per formula unit

Cell lengths 6.6670, 7.1910, 7.1910 Å; angles 103.72, 96.86, 96.86 degrees
Sites, in units of the cell vectors:
1 Se 0.2567 0.6027 0.6027
2 Se 0.7433 0.3973 0.3973
3 Se 0.7632 0.9240 0.5544
4 Se 0.5000 0.0000 0.0000
5 Se 0.2368 0.0760 0.4456
6 Se 0.7632 0.5544 0.9240
7 Se 0.2368 0.4456 0.0760
8 Al 0.5984 0.7620 0.7620
9 Pu 0.0000 0.6931 0.3069
10 Al 0.4016 0.2380 0.2380
11 Pu 0.0000 0.3069 0.6931

---

The following is a DFT calculation (PBE) of TaCrTc after structural relaxation.

Calculated values
- Raw total energy: -10.650 eV per atom
- DOS at the Fermi energy: 0.68 states/eV/atom
- Calculated formation energy: -36 meV/atom
- ΔE to the lowest computed polymorph: 0.093 eV per atom

Cell lengths 4.2953, 4.4305, 5.1311 Å; angles 90.00, 114.76, 90.00 degrees
Sites, in units of the cell vectors:
1 Ta 0.0916 0.2500 0.1834
2 Tc 0.5869 0.7500 0.1747
3 Tc 0.4131 0.2500 0.8253
4 Cr 0.2459 0.7500 0.4910
5 Cr 0.7541 0.2500 0.5090
6 Ta 0.9084 0.7500 0.8166